No. 1
! Sr2Ca2F, relaxed, DFT PBE-GGA; values from VASP
&SYSTEM
  ibrav = 0, nat = 5, ntyp = 3
/
ATOMIC_SPECIES
Sr 87.62 Sr.upf
Ca 40.08 Ca.upf
F 19.00 F.upf
ATOMIC_POSITIONS angstrom
Sr 2.2138 2.2138 1.8974
Sr 4.4276 4.4276 8.5569
Ca 2.2138 4.4276 5.2272
Ca 4.4276 2.2138 5.2272
F 0.0000 0.0000 0.0000
CELL_PARAMETERS angstrom
4.4276 0.0000 0.0000
0.0000 4.4276 0.0000
2.2138 2.2138 10.4543
! E_form (uncorrected)	-0.413	eV/atom
! size of the total moment	0.00	μB/atom
! final energy	-2.260	eV/atom



No. 2
! SrCaF3, relaxed, DFT PBE-GGA; values from VASP
&SYSTEM
  ibrav = 0, nat = 5, ntyp = 3
/
ATOMIC_SPECIES
F 19.00 F.upf
Sr 87.62 Sr.upf
Ca 40.08 Ca.upf
ATOMIC_POSITIONS angstrom
F 2.3847 0.0000 0.0000
F 0.0000 2.3847 0.0000
F 0.0000 0.0000 2.3847
Sr 0.0000 0.0000 0.0000
Ca 2.3847 2.3847 2.3847
CELL_PARAMETERS angstrom
4.7693 0.0000 0.0000
0.0000 4.7693 0.0000
0.0000 0.0000 4.7693
! E_form (uncorrected)	-2.966	eV/atom
! size of the total moment	0.00	μB/atom
! final energy	-4.826	eV/atom